Record 1
# LaTlRe | Alexandria via LeMat-Bulk | PBE-GGA | optimized geometry
# Formation enthalpy at 0 K, eV per atom: 0.1233
# Volume, Å³ per atom: 25.69
data_LaTlRe
_symmetry_space_group_name_H-M 'C 1 m 1'
_symmetry_Int_Tables_number 8
_cell_length_a 11.2325
_cell_length_b 4.4951
_cell_length_c 8.0857
_cell_angle_alpha 90.00
_cell_angle_beta 130.97
_cell_angle_gamma 90.00
loop_
_symmetry_equiv_pos_as_xyz
'x,y,z'
'x,-y,z'
'x+1/2,y+1/2,z'
'x+1/2,-y+1/2,z'
loop_
_atom_site_label
_atom_site_fract_x
_atom_site_fract_y
_atom_site_fract_z
La1 0.0000 0.0000 0.0000
La2 0.0013 0.0000 0.5009
Tl1 0.1507 0.5000 0.3555
Tl2 0.3513 0.0000 0.6449
Re1 0.1958 0.5000 0.9889
Re2 0.3058 0.0000 0.0133

---

Record 2
# AcSm8Y5 | Alexandria via LeMat-Bulk | PBE-GGA | optimized geometry
# Formation enthalpy at 0 K, eV per atom: 0.2494
# Volume, Å³ per atom: 35.32
data_AcSm8Y5
_symmetry_space_group_name_H-M 'I -4'
_symmetry_Int_Tables_number 82
_cell_length_a 9.7024
_cell_length_b 9.7024
_cell_length_c 10.5067
_cell_angle_alpha 90.00
_cell_angle_beta 90.00
_cell_angle_gamma 90.00
loop_
_symmetry_equiv_pos_as_xyz
'x,y,z'
'y,-x,-z'
'-x,-y,z'
'-y,x,-z'
'x+1/2,y+1/2,z+1/2'
'y+1/2,-x+1/2,-z+1/2'
'-x+1/2,-y+1/2,z+1/2'
'-y+1/2,x+1/2,-z+1/2'
loop_
_atom_site_label
_atom_site_fract_x
_atom_site_fract_y
_atom_site_fract_z
Ac1 0.0000 0.0000 0.0000
Sm1 0.0707 0.8259 0.3565
Sm2 0.0945 0.6655 0.9989
Y1 0.0000 0.5000 0.2500
Y2 0.1198 0.7057 0.6785

---

Record 3
# CsBaGa2Br | Alexandria via LeMat-Bulk | PBE-GGA | optimized geometry
# Volume, Å³ per atom: 44.57
# Calculated total energy, eV per cell: -11.11
data_CsBaGa2Br
_symmetry_space_group_name_H-M 'P 4/m m m'
_symmetry_Int_Tables_number 123
_symmetry_space_group_name_Hall '-P 4 2'
_cell_length_a 6.0353
_cell_length_b 6.0353
_cell_length_c 6.1180
_cell_angle_alpha 90.00
_cell_angle_beta 90.00
_cell_angle_gamma 90.00
loop_
_atom_site_label
_atom_site_fract_x
_atom_site_fract_y
_atom_site_fract_z
Cs1 0.0000 0.0000 0.0000
Ba1 0.5000 0.5000 0.0000
Ga1 0.0000 0.5000 0.5000
Br1 0.5000 0.5000 0.5000

---

Q: The highest volume belongs to which entry?
A: CsBaGa2Br